{"formula": "Al6Ag7", "functional": "PBE", "state": "optimized geometry", "lattice_angstrom": [[2.7773, 1.6035, 8.8938], [-2.7773, 1.6035, 8.8938], [0.0000, -3.2070, 8.8938]], "species": ["Al", "Al", "Al", "Al", "Al", "Al", "Ag", "Ag", "Ag", "Ag", "Ag", "Ag", "Ag"], "fractional_positions": [[0.0482, 0.0482, 0.0482], [0.1558, 0.1558, 0.1558], [0.3334, 0.3334, 0.3334], [0.6666, 0.6666, 0.6666], [0.8442, 0.8442, 0.8442], [0.9518, 0.9518, 0.9518], [0.0790, 0.5833, 0.5833], [0.4167, 0.4167, 0.9210], [0.4167, 0.9210, 0.4167], [0.5000, 0.5000, 0.5000], [0.5833, 0.0790, 0.5833], [0.5833, 0.5833, 0.0790], [0.9210, 0.4167, 0.4167]], "crystal_system": "trigonal", "spacegroup": "R-3m, No. 166", "formation_energy_ev_per_atom": 0.10}

{"formula": "AlAg2", "functional": "PBE", "state": "optimized geometry", "lattice_angstrom": [[6.2824, 0.0000, 0.0000], [0.0000, 6.2824, 0.0000], [0.0000, 0.0000, 6.2824]], "species": ["Al", "Al", "Al", "Al", "Ag", "Ag", "Ag", "Ag", "Ag", "Ag", "Ag", "Ag"], "fractional_positions": [[0.0000, 0.0000, 0.0000], [0.0000, 0.5000, 0.5000], [0.5000, 0.0000, 0.5000], [0.5000, 0.5000, 0.0000], [0.1348, 0.6348, 0.8652], [0.1348, 0.8652, 0.3652], [0.3652, 0.1348, 0.8652], [0.3652, 0.3652, 0.3652], [0.6348, 0.6348, 0.6348], [0.6348, 0.8652, 0.1348], [0.8652, 0.1348, 0.6348], [0.8652, 0.3652, 0.1348]], "crystal_system": "cubic", "spacegroup": "Pa-3, No. 205", "formation_energy_ev_per_atom": 0.35}

{"formula": "AlAg2", "functional": "PBE", "state": "optimized geometry", "lattice_angstrom": [[4.9050, 0.0000, 0.0000], [0.0000, 3.0021, 0.0000], [-2.0769, 0.0000, 6.9748]], "species": ["Al", "Al", "Ag", "Ag", "Ag", "Ag"], "fractional_positions": [[0.0251, 0.2500, 0.3293], [0.9749, 0.7500, 0.6707], [0.2436, 0.2500, 0.9924], [0.4636, 0.2500, 0.6607], [0.5364, 0.7500, 0.3393], [0.7564, 0.7500, 0.0076]], "crystal_system": "monoclinic", "spacegroup": "P2_1/m, No. 11", "formation_energy_ev_per_atom": -0.06}

{"formula": "Al5Ag2", "functional": "PBE", "state": "optimized geometry", "lattice_angstrom": [[14.6204, -1.4767, 0.0000], [14.6204, 1.4767, 0.0000], [-0.5405, 0.0000, 5.6477]], "species": ["Al", "Al", "Al", "Al", "Al", "Al", "Al", "Al", "Al", "Al", "Ag", "Ag", "Ag", "Ag"], "fractional_positions": [[0.0006, 0.9994, 0.7500], [0.2160, 0.2163, 0.1082], [0.2163, 0.2160, 0.6082], [0.4309, 0.4316, 0.4653], [0.4316, 0.4309, 0.9653], [0.5684, 0.5691, 0.0347], [0.5691, 0.5684, 0.5347], [0.7837, 0.7840, 0.3918], [0.7840, 0.7837, 0.8918], [0.9994, 0.0006, 0.2500], [0.1343, 0.1380, 0.8183], [0.1380, 0.1343, 0.3183], [0.8620, 0.8657, 0.6817], [0.8657, 0.8620, 0.1817]], "de_polymorph_mev_per_atom": 45, "crystal_system": "monoclinic", "spacegroup": "C2/c, No. 15", "formation_energy_ev_per_atom": 0.02}

{"formula": "Al5Ag", "functional": "PBE", "state": "optimized geometry", "lattice_angstrom": [[0.0000, 3.7727, 3.7727], [3.7727, 0.0000, 3.7727], [3.7727, 3.7727, 0.0000]], "species": ["Al", "Al", "Al", "Al", "Al", "Ag"], "fractional_positions": [[0.0000, 0.0000, 0.0000], [0.3749, 0.3749, 0.3749], [0.3749, 0.3749, 0.8753], [0.3749, 0.8753, 0.3749], [0.8753, 0.3749, 0.3749], [0.7500, 0.7500, 0.7500]], "de_polymorph_mev_per_atom": 219, "crystal_system": "cubic", "spacegroup": "F-43m, No. 216", "formation_energy_ev_per_atom": 0.21}

{"formula": "Al3Ag", "functional": "PBE", "state": "optimized geometry", "lattice_angstrom": [[4.0430, -4.0322, 0.0000], [4.0430, 4.0322, 0.0000], [0.0000, 0.0000, 4.1519]], "species": ["Al", "Al", "Al", "Al", "Al", "Al", "Ag", "Ag"], "fractional_positions": [[0.1223, 0.8777, 0.7500], [0.1272, 0.3728, 0.7500], [0.3728, 0.1272, 0.2500], [0.6272, 0.8728, 0.7500], [0.8728, 0.6272, 0.2500], [0.8777, 0.1223, 0.2500], [0.3665, 0.6335, 0.2500], [0.6335, 0.3665, 0.7500]], "crystal_system": "orthorhombic", "spacegroup": "Cmcm, No. 63", "formation_energy_ev_per_atom": 0.00}

{"formula": "AlAg2", "functional": "PBE", "state": "optimized geometry", "lattice_angstrom": [[4.6885, 0.0000, 0.0000], [-2.3442, 4.0604, 0.0000], [0.0000, 0.0000, 2.7782]], "species": ["Al", "Ag", "Ag"], "fractional_positions": [[0.0000, 0.0000, 0.0000], [0.3333, 0.6667, 0.5000], [0.6667, 0.3333, 0.5000]], "crystal_system": "hexagonal", "spacegroup": "P6/mmm, No. 191", "formation_energy_ev_per_atom": 0.08}

{"formula": "Al7Ag4", "functional": "PBE", "state": "optimized geometry", "lattice_angstrom": [[4.7618, 0.0000, 0.0000], [-1.5810, 6.3489, 0.0000], [-0.3997, -2.3518, 6.1961]], "species": ["Al", "Al", "Al", "Al", "Al", "Al", "Al", "Ag", "Ag", "Ag", "Ag"], "fractional_positions": [[0.0000, 0.0000, 0.0000], [0.0908, 0.3661, 0.8124], [0.1869, 0.7309, 0.6392], [0.4563, 0.8213, 0.0954], [0.5437, 0.1787, 0.9046], [0.8131, 0.2691, 0.3608], [0.9092, 0.6339, 0.1876], [0.2731, 0.0947, 0.4510], [0.3554, 0.4505, 0.2604], [0.6446, 0.5495, 0.7396], [0.7269, 0.9053, 0.5490]], "de_polymorph_mev_per_atom": 12, "crystal_system": "triclinic", "spacegroup": "P-1, No. 2", "formation_energy_ev_per_atom": -0.01}

{"formula": "Al3Ag", "functional": "PBE", "state": "optimized geometry", "lattice_angstrom": [[4.7872, -1.4237, 0.0000], [4.7872, 1.4237, 0.0000], [-0.9298, 0.0000, 4.9565]], "species": ["Al", "Al", "Al", "Ag"], "fractional_positions": [[0.0000, 0.0000, 0.0000], [0.2475, 0.2475, 0.7538], [0.7525, 0.7525, 0.2462], [0.5000, 0.5000, 0.5000]], "crystal_system": "monoclinic", "spacegroup": "C2/m, No. 12", "formation_energy_ev_per_atom": -0.01}

{"formula": "AlAg8", "functional": "PBE", "state": "optimized geometry", "lattice_angstrom": [[-4.3381, 4.3381, 2.1041], [4.3381, -4.3381, 2.1041], [4.3381, 4.3381, -2.1041]], "species": ["Al", "Ag", "Ag", "Ag", "Ag", "Ag", "Ag", "Ag", "Ag"], "fractional_positions": [[0.0000, 0.0000, 0.0000], [0.0000, 0.3300, 0.3300], [0.0000, 0.6700, 0.6700], [0.3300, 0.0000, 0.3300], [0.3358, 0.3358, 0.6717], [0.3358, 0.6642, 0.0000], [0.6642, 0.3358, 0.0000], [0.6642, 0.6642, 0.3283], [0.6700, 0.0000, 0.6700]], "de_polymorph_mev_per_atom": 0, "crystal_system": "tetragonal", "spacegroup": "I4/mmm, No. 139", "formation_energy_ev_per_atom": 0.00}

{"formula": "AlAg", "functional": "PBE", "state": "optimized geometry", "lattice_angstrom": [[5.3366, -2.8227, 0.0000], [5.3366, 2.8227, 0.0000], [-1.5748, 0.0000, 4.5593]], "species": ["Al", "Al", "Al", "Al", "Ag", "Ag", "Ag", "Ag"], "fractional_positions": [[0.0000, 0.0000, 0.0000], [0.4898, 0.0076, 0.9985], [0.7339, 0.2661, 0.5000], [0.9924, 0.5102, 0.0015], [0.2310, 0.2557, 0.4893], [0.2309, 0.7691, 0.5000], [0.5094, 0.4906, 0.0000], [0.7443, 0.7690, 0.5107]], "crystal_system": "monoclinic", "spacegroup": "C2, No. 5", "formation_energy_ev_per_atom": -0.01}

{"formula": "Al3Ag", "functional": "PBE", "state": "optimized geometry", "lattice_angstrom": [[2.9864, -4.0314, 0.0000], [2.9864, 4.0314, 0.0000], [-2.8077, 0.0000, 5.6356]], "species": ["Al", "Al", "Al", "Al", "Al", "Al", "Ag", "Ag"], "fractional_positions": [[0.0000, 0.5000, 0.5000], [0.2494, 0.7506, 0.0000], [0.3773, 0.3773, 0.2552], [0.5000, 0.0000, 0.5000], [0.6227, 0.6227, 0.7448], [0.7506, 0.2494, 0.0000], [0.1269, 0.1269, 0.7563], [0.8731, 0.8731, 0.2437]], "crystal_system": "monoclinic", "spacegroup": "C2/m, No. 12", "formation_energy_ev_per_atom": 0.01}